No. 1
The following is a PBE-GGA calculation of an optimized crystal structure of PmErTe2, from the Alexandria database.

Unit cell a=7.6198 b=7.6198 c=7.6198 alpha=90.00 beta=90.00 gamma=90.00
Space group Fm-3m (No. 225)
Inequivalent atoms, fractional coordinates:
Pm 0.0000 0.0000 0.0000 [4 per cell]
Er 0.0000 0.0000 0.5000 [4 per cell]
Te 0.2500 0.2500 0.2500 [8 per cell]

Summary:
- ΔE_f (raw) (eV/atom) = -1.186

No. 2
The following is a PBE-GGA calculation of an optimized crystal structure of Pm2Er2Te7, from the Alexandria database.

Unit cell a=10.5718 b=11.2518 c=6.8139 alpha=90.00 beta=90.00 gamma=90.00
Space group Cmmm (No. 65)
Inequivalent atoms, fractional coordinates:
Pm 0.2416 0.0000 0.0000 [4 per cell]
Er 0.0000 0.2348 0.5000 [4 per cell]
Te 0.0000 0.0000 0.2557 [4 per cell]
Te 0.0000 0.5000 0.5000 [2 per cell]
Te 0.2500 0.2500 0.2445 [8 per cell]

Summary:
- ΔE_f (raw) (eV/atom) = -1.013

No. 3
The following is a PBE-GGA calculation of an optimized crystal structure of PmErTe3, from the Alexandria database.

Unit cell a=8.2523 b=4.3715 c=17.3537 alpha=90.00 beta=90.00 gamma=90.00
Space group Pnma (No. 62)
Inequivalent atoms, fractional coordinates:
Pm 0.1346 0.2500 0.2003 [4 per cell]
Er 0.2276 0.7500 0.4585 [4 per cell]
Te 0.0046 0.2500 0.3937 [4 per cell]
Te 0.1173 0.7500 0.0633 [4 per cell]
Te 0.1571 0.2500 0.7858 [4 per cell]

Summary:
- ΔE_f (raw) (eV/atom) = -1.392

> Which of these has the highest ΔE_f (raw)?

Pm2Er2Te7